PmPu2Se3 | PBE-GGA | optimized geometry

Cell and atoms, written as POSCAR:
```
PmPu2Se3
1.0
4.167 0.000 0.000
0.000 5.885 0.000
-2.084 -2.943 6.238
Se Pu Pm
3 2 1
direct
0.830 0.330 0.160 Se
0.170 0.670 0.840 Se
0.500 0.000 0.500 Se
0.835 0.835 0.169 Pu
0.165 0.165 0.831 Pu
0.500 0.500 0.500 Pm
```

## Properties
For the uncorrected formation energy, the calculation gives -1644 meV/atom. The energy comes out at -8.9556 eV/atom.

***

MgOs2Ru | PBE-GGA | optimized geometry

Cell and atoms, written as POSCAR:
```
MgOs2Ru
1.0
-1.047 3.050 3.646
2.976 -3.679 1.142
2.172 1.548 -0.671
Os Ru Mg
2 1 1
direct
0.500 0.500 0.000 Os
0.000 0.000 0.000 Os
0.500 0.000 0.500 Ru
0.000 0.500 0.500 Mg
```

## Properties
The calculation puts the formation energy at 0.309 eV/atom. The energy comes out at -8.0237 eV/atom.

***

La7Er2Tm2 | PBE-GGA | optimized geometry

Cell and atoms, written as POSCAR:
```
La7Er2Tm2
1.0
5.734 1.209 1.745
0.094 8.030 1.578
0.094 -1.343 8.072
La Er Tm
7 2 2
direct
0.000 0.000 0.000 La
0.185 0.035 0.589 La
0.385 0.231 0.231 La
0.815 0.411 0.965 La
0.185 0.589 0.035 La
0.615 0.769 0.769 La
0.815 0.965 0.411 La
0.207 0.574 0.574 Er
0.793 0.426 0.426 Er
0.500 0.221 0.779 Tm
0.500 0.779 0.221 Tm
```

## Properties
The offset from the most stable computed form comes out at 0 meV per atom. The calculation puts the formation energy at 0.138 eV/atom. The energy comes out at -4.6402 eV/atom.

***

CsBeRhN2 | PBE-GGA | optimized geometry

Cell and atoms, written as POSCAR:
```
CsBeRhN2
1.0
3.934 0.000 0.000
0.000 6.545 0.000
0.000 0.000 3.934
N Cs Be Rh
2 1 1 1
direct
0.000 0.000 0.500 N
0.500 0.000 0.000 N
0.000 0.500 0.000 Cs
0.500 0.500 0.500 Be
0.000 0.000 0.000 Rh
```

## Properties
For the uncorrected formation energy, the calculation gives 1697 meV/atom. The energy comes out at -4.0195 eV/atom.

***

AcYPuPb | PBE-GGA | optimized geometry

Cell and atoms, written as POSCAR:
```
AcYPuPb
1.0
5.615 0.000 0.000
2.807 4.863 0.000
2.807 1.621 4.584
Pu Y Pb Ac
1 1 1 1
direct
0.250 0.250 0.250 Pu
0.750 0.750 0.750 Y
0.000 0.000 0.000 Pb
0.500 0.500 0.500 Ac
```

## Properties
The calculation puts the formation energy at 0.057 eV/atom. The energy comes out at -7.0960 eV/atom.

***

Sm2AgTe4 | PBE-GGA | optimized geometry

Cell and atoms, written as POSCAR:
```
Sm2AgTe4
1.0
-4.076 -0.147 -6.676
3.784 -4.506 -2.211
-3.912 -5.920 5.370
Te Sm Ag
8 4 2
direct
0.475 0.508 0.749 Te
0.940 0.250 0.135 Te
0.060 0.750 0.865 Te
0.475 0.992 0.749 Te
0.927 0.250 0.584 Te
0.525 0.008 0.251 Te
0.073 0.750 0.416 Te
0.525 0.492 0.251 Te
0.783 0.750 0.076 Sm
0.256 0.250 0.440 Sm
0.744 0.750 0.560 Sm
0.217 0.250 0.924 Sm
0.781 0.250 0.826 Ag
0.219 0.750 0.174 Ag
```

## Properties
For the uncorrected formation energy, the calculation gives -976 meV/atom. The energy comes out at -4.5272 eV/atom.

***

Cs3Ac3SbO8 | PBE-GGA | optimized geometry

Cell and atoms, written as POSCAR:
```
Cs3Ac3SbO8
1.0
7.541 -0.001 0.000
-3.771 6.534 -0.025
0.000 -4.332 7.084
O Cs Ac Sb
8 3 3 1
direct
0.234 0.038 0.342 O
0.804 0.038 0.342 O
0.196 0.392 0.658 O
0.804 0.608 0.342 O
0.723 0.447 0.670 O
0.196 0.962 0.658 O
0.277 0.553 0.330 O
0.766 0.962 0.658 O
0.000 0.000 0.000 Cs
0.500 0.500 0.000 Cs
0.000 0.500 0.000 Cs
0.000 0.500 0.500 Ac
0.500 0.500 0.500 Ac
0.500 0.000 0.500 Ac
0.000 0.000 0.500 Sb
```

## Properties
For the uncorrected formation energy, the calculation gives -2262 meV/atom. The energy comes out at -6.1733 eV/atom.

***

EuErScCd | PBE-GGA | optimized geometry

Cell and atoms, written as POSCAR:
```
EuErScCd
1.0
5.420 0.000 0.000
2.710 4.694 0.000
2.710 1.565 4.425
Eu Er Sc Cd
1 1 1 1
direct
0.000 0.000 0.000 Eu
0.500 0.500 0.500 Er
0.750 0.750 0.750 Sc
0.250 0.250 0.250 Cd
```

## Properties
The calculation puts the formation energy at 0.010 eV/atom. The energy comes out at -5.5106 eV/atom.

***

no.,Fermi-level density of states (states/eV per cell)
1,19.58
2,4.39
3,15.90
4,3.27
5,14.38
6,1.22
7,1.63
8,3.61